RbPt4Pb | PBE-GGA | relaxed

Crystal system: cubic
Magnetic moment in μB per cell: 0.0
Formation enthalpy at 0 K in meV/atom: -96

a b c (Å): 5.5558 5.5558 5.5558
angles (deg): 60.00 60.00 60.00
With the nearest neighbours (Å) after each atom.
Element x y z (fractional)
Rb 0.0000 0.0000 0.0000  12 Pt 3.26, 4 Pb 3.40
Pt 0.3755 0.3755 0.3755  6 Pt 2.77-2.79
Pt 0.3755 0.3755 0.8735  6 Pt 2.77-2.79
Pt 0.3755 0.8735 0.3755  6 Pt 2.77-2.79
Pt 0.8735 0.3755 0.3755  6 Pt 2.77-2.79
Pb 0.7500 0.7500 0.7500  12 Pt 3.26, 4 Rb 3.40